(1)
VASP calculation (PBE) on a relaxed structure of Pm4BeBr5.

formation energy from raw total energies = -124.4 kJ per mole of atoms

Structure (CIF):
```
data_Pm4BeBr5
_chemical_formula_sum 'Pm8 Be2 Br10'
_cell_length_a 18.598
_cell_length_b 3.998
_cell_length_c 8.708
_cell_angle_alpha 90.00
_cell_angle_beta 103.11
_cell_angle_gamma 90.00
_space_group_name_H-M_alt 'C 1 2/m 1'
_space_group_IT_number 12
_space_group_name_Hall '-C 2y'
loop_
_atom_site_label
_atom_site_fract_x
_atom_site_fract_y
_atom_site_fract_z
_atom_site_occupancy
Pm1 0.000 0.000 0.226 1
Pm2 0.150 0.500 0.080 1
Be1 0.000 0.500 0.000 1
Br1 0.000 0.500 0.500 1
Br2 0.166 0.000 0.337 1
Br3 0.172 0.000 0.835 1
```

(2)
VASP calculation (PBE) on a relaxed structure of Ti2IrPt.

calculated formation energy = -0.862 eV per atom

Structure (CIF):
```
data_Ti2IrPt
_chemical_formula_sum 'Ti4 Ir2 Pt2'
_cell_length_a 5.731
_cell_length_b 7.394
_cell_length_c 2.893
_cell_angle_alpha 90.00
_cell_angle_beta 90.00
_cell_angle_gamma 90.00
_space_group_name_H-M_alt 'C m m m'
_space_group_IT_number 65
_space_group_name_Hall '-C 2 2'
loop_
_atom_site_label
_atom_site_fract_x
_atom_site_fract_y
_atom_site_fract_z
_atom_site_occupancy
Ti1 0.250 0.250 0.000 1
Ir1 0.000 0.000 0.500 1
Pt1 0.000 0.500 0.500 1
```

(3)
VASP calculation (PBE) on a relaxed structure of Tm6SeS5.

formation energy from raw total energies = -181.8 kJ per mole of atoms

Structure (CIF):
```
data_Tm6SeS5
_chemical_formula_sum 'Tm12 Se2 S10'
_cell_length_a 6.698
_cell_length_b 11.643
_cell_length_c 6.706
_cell_angle_alpha 90.00
_cell_angle_beta 109.56
_cell_angle_gamma 90.00
_space_group_name_H-M_alt 'C 1 2/m 1'
_space_group_IT_number 12
_space_group_name_Hall '-C 2y'
loop_
_atom_site_label
_atom_site_fract_x
_atom_site_fract_y
_atom_site_fract_z
_atom_site_occupancy
Tm1 0.240 0.172 0.235 1
Tm2 0.244 0.000 0.762 1
Se1 0.000 0.500 0.500 1
S1 0.000 0.000 0.000 1
S2 0.000 0.167 0.500 1
S3 0.000 0.338 0.000 1
```

(4)
VASP calculation (PBE) on a relaxed structure of Th4AgPd.

calculated formation energy = -0.270 eV per atom
polymorph energy (0 for the lowest one) = 0.012 eV/atom

Structure (CIF):
```
data_Th4AgPd
_chemical_formula_sum 'Th8 Ag2 Pd2'
_cell_length_a 7.473
_cell_length_b 7.473
_cell_length_c 5.895
_cell_angle_alpha 90.00
_cell_angle_beta 90.00
_cell_angle_gamma 90.00
_space_group_name_H-M_alt 'I 4 2 2'
_space_group_IT_number 97
_space_group_name_Hall 'I 4 2'
loop_
_atom_site_label
_atom_site_fract_x
_atom_site_fract_y
_atom_site_fract_z
_atom_site_occupancy
Th1 0.158 0.342 0.250 1
Ag1 0.000 0.000 0.000 1
Pd1 0.000 0.000 0.500 1
```

(5)
VASP calculation (PBE) on a relaxed structure of CoGeRh3.

calculated formation energy = 0.870 eV per atom
polymorph energy (0 for the lowest one) = 0.000 eV/atom

Structure (CIF):
```
data_CoGeRh3
_chemical_formula_sum 'Co1 Ge1 Rh3'
_cell_length_a 4.497
_cell_length_b 4.497
_cell_length_c 4.497
_cell_angle_alpha 90.00
_cell_angle_beta 90.00
_cell_angle_gamma 90.00
_space_group_name_H-M_alt 'P m -3 m'
_space_group_IT_number 221
_space_group_name_Hall '-P 4 2 3'
loop_
_atom_site_label
_atom_site_fract_x
_atom_site_fract_y
_atom_site_fract_z
_atom_site_occupancy
Co1 0.000 0.000 0.000 1
Ge1 0.500 0.500 0.500 1
Rh1 0.000 0.500 0.500 1
```

(6)
VASP calculation (PBE) on a relaxed structure of SrLiHf2Sn.

calculated formation energy = 1.677 eV per atom

Structure (CIF):
```
data_SrLiHf2Sn
_chemical_formula_sum 'Sr1 Li1 Hf2 Sn1'
_cell_length_a 5.296
_cell_length_b 5.296
_cell_length_c 5.870
_cell_angle_alpha 90.00
_cell_angle_beta 90.00
_cell_angle_gamma 90.00
_space_group_name_H-M_alt 'P 4/m m m'
_space_group_IT_number 123
_space_group_name_Hall '-P 4 2'
loop_
_atom_site_label
_atom_site_fract_x
_atom_site_fract_y
_atom_site_fract_z
_atom_site_occupancy
Sr1 0.000 0.000 0.000 1
Li1 0.500 0.500 0.500 1
Hf1 0.000 0.500 0.000 1
Sn1 0.000 0.000 0.500 1
```

(7)
VASP calculation (PBE) on a relaxed structure of AcTb7Pr2.

calculated formation energy = 0.418 eV per atom
polymorph energy (0 for the lowest one) = 0.000 eV/atom

Structure (CIF):
```
data_AcTb7Pr2
_chemical_formula_sum 'Ac2 Tb14 Pr4'
_cell_length_a 11.886
_cell_length_b 17.038
_cell_length_c 3.604
_cell_angle_alpha 90.00
_cell_angle_beta 90.14
_cell_angle_gamma 90.00
_space_group_name_H-M_alt 'C 1 2/m 1'
_space_group_IT_number 12
_space_group_name_Hall '-C 2y'
loop_
_atom_site_label
_atom_site_fract_x
_atom_site_fract_y
_atom_site_fract_z
_atom_site_occupancy
Ac1 0.000 0.000 0.000 1
Tb1 0.000 0.332 0.000 1
Tb2 0.000 0.500 0.500 1
Tb3 0.240 0.367 0.501 1
Pr1 0.000 0.181 0.500 1
```

(8)
VASP calculation (PBE) on a relaxed structure of AcMg2Ga.

calculated formation energy = -0.083 eV per atom
polymorph energy (0 for the lowest one) = 0.181 eV/atom

Structure (CIF):
```
data_AcMg2Ga
_chemical_formula_sum 'Ac1 Mg2 Ga1'
_cell_length_a 3.626
_cell_length_b 3.626
_cell_length_c 8.197
_cell_angle_alpha 90.00
_cell_angle_beta 90.00
_cell_angle_gamma 90.00
_space_group_name_H-M_alt 'P 4/m m m'
_space_group_IT_number 123
_space_group_name_Hall '-P 4 2'
loop_
_atom_site_label
_atom_site_fract_x
_atom_site_fract_y
_atom_site_fract_z
_atom_site_occupancy
Ac1 0.000 0.000 0.000 1
Mg1 0.500 0.500 0.311 1
Ga1 0.000 0.000 0.500 1
```

DFT total energy? In order: -4.399; -8.535; -6.130; -6.558; -5.885; -3.824; -4.190; -2.664 eV/atom.